Computed, not measured: a relaxed structure of AgAsF3 at the PBE-GGA level of DFT.

## Properties
- offset from the most stable computed form (meV/atom) = 561
- space group = Pm-3m (221)

abc: 4.378 4.378 4.378
angles: 90.00 90.00 90.00
Fractional positions:
Ag 0.000 0.000 0.000
As 0.500 0.500 0.500
F 0.000 0.000 0.500
F 0.000 0.500 0.000
F 0.500 0.000 0.000

=====

Computed, not measured: a relaxed structure of AgAsF6 at the PBE-GGA level of DFT.

## Properties
- space group = C2/m (12)

abc: 5.948 5.948 6.031
angles: 119.63 119.63 59.88
Fractional positions:
Ag 0.000 0.000 0.000
As 0.500 0.500 0.500
F 0.287 0.710 0.707
F 0.290 0.290 0.292
F 0.290 0.713 0.293
F 0.710 0.287 0.707
F 0.710 0.710 0.708
F 0.713 0.290 0.293

=====

Computed, not measured: a relaxed structure of Ag3AsF6 at the PBE-GGA level of DFT.

## Properties
- space group = P2_1/c (14)

abc: 5.939 6.184 10.189
angles: 90.00 123.05 90.00
Fractional positions:
Ag 0.000 0.000 0.000
Ag 0.000 0.500 0.500
Ag 0.214 0.065 0.742
Ag 0.214 0.435 0.242
Ag 0.786 0.565 0.758
Ag 0.786 0.935 0.258
As 0.500 0.000 0.500
As 0.500 0.500 0.000
F 0.163 0.174 0.447
F 0.163 0.326 0.947
F 0.257 0.729 0.417
F 0.257 0.771 0.917
F 0.411 0.069 0.278
F 0.411 0.431 0.778
F 0.589 0.569 0.222
F 0.589 0.931 0.722
F 0.743 0.229 0.083
F 0.743 0.271 0.583
F 0.837 0.674 0.053
F 0.837 0.826 0.553

=====

Computed, not measured: a relaxed structure of Ag3AsF at the PBE-GGA level of DFT.

## Properties
- offset from the most stable computed form (meV/atom) = 0
- space group = Pm-3m (221)

abc: 4.593 4.593 4.593
angles: 90.00 90.00 90.00
Fractional positions:
Ag 0.000 0.000 0.500
Ag 0.000 0.500 0.000
Ag 0.500 0.000 0.000
As 0.500 0.500 0.500
F 0.000 0.000 0.000

=====

no.,final energy (Ha/atom),formation energy without anion corrections (eV per atom)
1,-0.1158,-0.527
2,-0.1553,-1.886
3,-0.1418,-1.415
4,-0.1101,0.019